Entry from Alexandria via LeMat-Bulk: CeSbIr4 after structural relaxation (PBE).

Density (g cm⁻³): 15.66
E_form (uncorrected) (eV/atom): -0.33
Fermi-level density of states (states/eV per cell): 5.53

Lattice parameters (Å, degrees): 5.3669 5.3669 5.3669 60.00 60.00 60.00
Closest atoms and distances in Å follow each position.
Fractional positions:
Ce 0.0000 0.0000 0.0000  12 Ir 3.15, 4 Sb 3.29
Sb 0.7500 0.7500 0.7500  12 Ir 3.15, 4 Ce 3.29
Ir 0.3755 0.3755 0.3755  6 Ir 2.67-2.69
Ir 0.3755 0.3755 0.8734  6 Ir 2.67-2.69
Ir 0.3755 0.8734 0.3755  6 Ir 2.67-2.69
Ir 0.8734 0.3755 0.3755  6 Ir 2.67-2.69